Entry 1:
Here is a geometry-optimized Hf4Zr2Fe3N3 structure from the Open Quantum Materials Database. Energies are from PBE.

Values from the calculation:
Symmetry: C2/c
Calculated total energy, eV per atom: -9.745

Cell: 5.451 5.451 13.691 Å, 101.67 101.67 59.93°
Site moments in Bohr magnetons follow the coordinates.
Element x y z (fractional)
Fe (0.414, 0.088, 0.250)  1.18
Fe (0.921, 0.079, 0.250)  1.27
Fe (0.079, 0.921, 0.750)  1.27
Fe (0.586, 0.912, 0.750)  1.18
Fe (0.088, 0.414, 0.750)  1.29
Fe (0.912, 0.586, 0.250)  1.29
Zr (0.458, 0.625, 0.378)  -0.12
Zr (0.542, 0.375, 0.622)  -0.12
Zr (0.375, 0.542, 0.122)  -0.11
Zr (0.625, 0.458, 0.878)  -0.11
N (0.830, 0.335, 0.500)  0.01
N (0.170, 0.665, 0.500)  0.01
N (0.000, 0.500, 0.000)  0.01
N (0.500, 0.000, 0.500)  0.00
N (0.335, 0.830, 0.000)  0.01
N (0.665, 0.170, 0.000)  0.01
Hf (0.138, 0.304, 0.405)  -0.12
Hf (0.203, 0.025, 0.595)  -0.12
Hf (0.975, 0.797, 0.905)  -0.12
Hf (0.304, 0.138, 0.905)  -0.12
Hf (0.797, 0.975, 0.405)  -0.12
Hf (0.025, 0.203, 0.095)  -0.12
Hf (0.862, 0.696, 0.595)  -0.12
Hf (0.696, 0.862, 0.095)  -0.12


Entry 2:
Here is a geometry-optimized NaHfFe structure from the Open Quantum Materials Database. Energies are from PBE.

Values from the calculation:
Energy relative to the lowest polymorph listed for this composition, meV per atom: 0
Symmetry: F-43m
Calculated total energy, eV per atom: -5.528

Cell: 4.418 4.418 4.418 Å, 60.00 60.00 60.00°
Element x y z (fractional)
Hf (0.250, 0.250, 0.250)
Fe (0.000, 0.000, 0.000)
Na (0.750, 0.750, 0.750)


The lowest calculated total energy belongs to which entry?
Hf4Zr2Fe3N3


Which value of calculated total energy does entry 1 give?
-9.745 eV per atom


What is the calculated total energy in the first record?
-9.745 eV per atom


Copy entry 2 word for word.
Here is a geometry-optimized NaHfFe structure from the Open Quantum Materials Database. Energies are from PBE.

Values from the calculation:
Energy relative to the lowest polymorph listed for this composition, meV per atom: 0
Symmetry: F-43m
Calculated total energy, eV per atom: -5.528

Cell: 4.418 4.418 4.418 Å, 60.00 60.00 60.00°
Element x y z (fractional)
Hf (0.250, 0.250, 0.250)
Fe (0.000, 0.000, 0.000)
Na (0.750, 0.750, 0.750)